Compound: Pr7TlZn4
Source: Alexandria
Functional: GGA-PBE
Structure: optimized geometry

a = 7.768 Å, b = 7.768 Å, c = 9.348 Å
α = 117.62°, β = 117.62°, γ = 45.17°
Atoms (fractional coordinates):
Pr1 0.000 0.000 0.000
Pr2 0.223 0.223 0.684
Pr3 0.313 0.313 0.120
Pr4 0.426 0.426 0.597
Pr5 0.574 0.574 0.403
Pr6 0.687 0.687 0.880
Pr7 0.777 0.777 0.316
Tl1 0.500 0.500 0.000
Zn1 0.013 0.013 0.673
Zn2 0.187 0.187 0.338
Zn3 0.813 0.813 0.662
Zn4 0.987 0.987 0.327

Calculated values
Formation energy from the elements: -0.117 eV/atom
Crystal system: monoclinic
Energy: -3.527 eV per atom